This record from Alexandria via LeMat-Bulk describes an optimized crystal structure of Sn2Pd7Rh. The functional is PBE.

Summary:
The formation energy comes out at 0.0289 eV per atom. The total energy comes out at -5.142 eV/atom.

a = 2.838 Å, b = 8.883 Å, c = 8.883 Å
α = 123.44°, β = 90.00°, γ = 90.00°
Fractional coordinates of all 10 atoms:
Pd: 0.500 0.137 0.316
Sn: 0.500 0.676 0.324
Pd: 0.500 0.863 0.684
Pd: 0.000 0.819 0.181
Pd: 0.000 0.181 0.819
Pd: 0.500 0.684 0.863
Sn: 0.500 0.324 0.676
Rh: 0.000 0.000 0.000
Pd: 0.500 0.500 0.500
Pd: 0.500 0.316 0.137